! Ca3AlP3 (PBEsol, optimized geometry); values from VASP
! DFT formation energy = -738 kJ/mol of formula units
! Energy above the most stable polymorph in this dataset = 0 meV/atom
&SYSTEM
  ibrav = 0, nat = 28, ntyp = 3
/
ATOMIC_SPECIES
Ca 40.08 Ca.upf
P 30.97 P.upf
Al 26.98 Al.upf
CELL_PARAMETERS angstrom
-0.156 4.008 0.518
-0.906 -1.553 11.736
12.874 0.367 1.042
ATOMIC_POSITIONS angstrom
Ca 4.977 1.038 1.366
Ca 5.739 2.186 8.494
Ca 2.995 -0.092 9.504
Ca 8.818 2.914 3.793
Ca 6.073 0.636 4.803
Ca 9.395 2.167 9.744
Ca 0.801 0.155 6.933
Ca 6.835 1.785 11.931
Ca 11.011 2.667 6.364
Ca 12.620 3.146 3.146
Ca 2.417 0.655 3.552
Ca -0.808 -0.323 10.151
P 9.979 1.830 12.524
P 10.989 0.946 3.889
P 1.018 2.427 5.214
P 3.998 0.290 6.852
P 7.352 0.079 9.499
P 4.460 2.744 3.798
P 4.006 1.748 11.360
P 1.833 0.992 0.772
P 10.794 0.396 8.083
P 0.824 1.877 9.408
P 7.814 2.532 6.444
P 7.806 1.074 1.936
Al 3.317 2.428 5.896
Al 10.181 1.206 1.632
Al 8.496 0.395 7.400
Al 1.631 1.616 11.665

! ZnFeO2 (PBEsol, optimized geometry); values from VASP
! ΔE_f (raw) = -4.25 eV per formula unit
&SYSTEM
  ibrav = 0, nat = 8, ntyp = 3
/
ATOMIC_SPECIES
O 16.00 O.upf
Zn 65.41 Zn.upf
Fe 55.84 Fe.upf
CELL_PARAMETERS angstrom
4.615 0.000 0.000
0.000 4.615 0.000
-2.307 -2.307 4.447
ATOMIC_POSITIONS angstrom
O -1.154 -1.151 3.335
O 3.459 1.154 1.112
O 1.154 1.151 3.335
O 1.156 3.461 1.112
Zn 0.000 2.307 2.224
Zn 0.000 0.000 0.000
Fe 2.307 2.307 0.000
Fe 2.307 0.000 2.224

! PdC3Br (PBEsol, optimized geometry); values from VASP
! ΔE_f (raw) = 17.02 eV per formula unit
&SYSTEM
  ibrav = 0, nat = 5, ntyp = 3
/
ATOMIC_SPECIES
C 12.01 C.upf
Pd 106.42 Pd.upf
Br 79.90 Br.upf
CELL_PARAMETERS angstrom
3.842 0.000 0.000
0.000 3.842 0.000
0.000 0.000 3.842
ATOMIC_POSITIONS angstrom
C 0.000 0.000 1.921
C 0.000 1.921 0.000
C 1.921 0.000 0.000
Pd 1.921 1.921 1.921
Br 0.000 0.000 0.000

! Ta2FeMo (PBEsol, optimized geometry); values from VASP
! DFT formation energy = -68 kJ/mol of formula units
! Energy above the most stable polymorph in this dataset = 0 meV/atom
&SYSTEM
  ibrav = 0, nat = 4, ntyp = 3
/
ATOMIC_SPECIES
Ta 180.95 Ta.upf
Mo 95.94 Mo.upf
Fe 55.84 Fe.upf
CELL_PARAMETERS angstrom
-0.090 3.492 2.668
-3.357 0.553 2.784
0.620 -0.519 4.321
ATOMIC_POSITIONS angstrom
Ta -0.707 0.882 2.443
Ta -2.121 2.645 7.330
Mo 0.000 0.000 0.000
Fe -1.414 1.763 4.886

! PdSe2Cl6 (PBEsol, optimized geometry); values from VASP
! ΔE_f (raw) = -3.30 eV per formula unit
&SYSTEM
  ibrav = 0, nat = 18, ntyp = 3
/
ATOMIC_SPECIES
Cl 35.45 Cl.upf
Se 78.96 Se.upf
Pd 106.42 Pd.upf
CELL_PARAMETERS angstrom
-2.536 -4.440 5.097
7.712 -1.408 2.611
-3.942 8.065 2.918
ATOMIC_POSITIONS angstrom
Cl -0.990 -0.282 5.907
Cl -0.716 3.590 5.807
Cl 4.253 0.657 2.621
Cl 5.013 -2.469 5.601
Cl 2.224 2.498 4.719
Cl 1.171 0.684 1.322
Cl 1.950 -1.374 4.818
Cl 0.063 1.532 9.303
Cl -3.779 4.685 5.025
Cl -3.020 1.559 8.005
Cl 2.805 -0.060 7.893
Cl -1.571 2.276 2.732
Se -0.146 -1.220 4.140
Se 6.258 0.062 3.331
Se -5.025 2.154 7.294
Se 1.380 3.436 6.485
Pd 5.801 -2.285 3.453
Pd -0.625 -3.563 4.255

! MoPS2Br (PBEsol, optimized geometry); values from VASP
! ΔE_f (raw) = 0.64 eV per formula unit
&SYSTEM
  ibrav = 0, nat = 5, ntyp = 4
/
ATOMIC_SPECIES
S 32.06 S.upf
Br 79.90 Br.upf
Mo 95.94 Mo.upf
P 30.97 P.upf
CELL_PARAMETERS angstrom
4.518 0.000 0.000
0.000 4.518 0.000
0.000 0.000 4.933
ATOMIC_POSITIONS angstrom
S 0.000 2.259 0.000
S 2.259 0.000 0.000
Br 2.259 2.259 2.467
Mo 0.000 0.000 0.000
P 0.000 0.000 2.467